An optimized crystal structure of Cs2MgNpBr6. Source: Alexandria via LeMat-Bulk, functional GGA-PBE.

abc: 8.0924 11.4416 8.0915
angles: 90.00 90.00 90.00
Last column: nearest neighbours and their distance in Å.
Space group Pmmn (No. 59, origin choice 2)
Asymmetric unit:
1 Cs 0.2500 0.0002 0.2500 (multiplicity 4)  12 Br 4.04-4.05
2 Mg 0.2500 0.2500 0.7495 (multiplicity 2)  6 Br 2.76
3 Np 0.2500 0.7500 0.7507 (multiplicity 2)  6 Br 2.97
4 Br 0.0092 0.2500 0.5085 (multiplicity 4)  1 Mg 2.76, 1 Np 2.97
5 Br 0.0091 0.2500 0.9901 (multiplicity 4)  1 Mg 2.76, 1 Np 2.97
6 Br 0.2500 0.0092 0.7499 (multiplicity 4)  1 Mg 2.76, 1 Np 2.97

Output
Raw formation energy (eV per atom): -1.429



An optimized crystal structure of Cs2MgOsBr6. Source: Alexandria via LeMat-Bulk, functional GGA-PBE.

abc: 10.6720 10.6720 10.6720
angles: 90.00 90.00 90.00
Last column: nearest neighbours and their distance in Å.
Space group Fm-3m (No. 225)
Asymmetric unit:
1 Cs 0.2500 0.2500 0.2500 (multiplicity 8)  12 Br 3.77
2 Mg 0.0000 0.0000 0.0000 (multiplicity 4)  6 Br 2.75
3 Os 0.0000 0.0000 0.5000 (multiplicity 4)  6 Br 2.59
4 Br 0.0000 0.0000 0.2573 (multiplicity 24)  1 Os 2.59, 1 Mg 2.75

Output
Raw formation energy (eV per atom): -0.916



An optimized crystal structure of Cs3Mg2PbBr9. Source: Alexandria via LeMat-Bulk, functional GGA-PBE.

abc: 7.9326 7.9326 9.7789
angles: 90.00 90.00 120.00
Last column: nearest neighbours and their distance in Å.
Space group P-3m1 (No. 164)
Asymmetric unit:
1 Cs 0.0000 0.0000 0.0000 (multiplicity 1)  12 Br 3.94-3.97
2 Cs 0.3333 0.6667 0.6708 (multiplicity 2)  12 Br 3.95-4.07
3 Mg 0.3333 0.6667 0.1546 (multiplicity 2)  6 Br 2.70-2.74
4 Pb 0.0000 0.0000 0.5000 (multiplicity 1)  6 Br 2.99
5 Br 0.0000 0.5000 0.0000 (multiplicity 3)  2 Mg 2.74
6 Br 0.1754 0.3508 0.3184 (multiplicity 6)  1 Mg 2.70, 1 Pb 2.99

Output
Raw formation energy (eV per atom): -1.494



An optimized crystal structure of CsMgPbBr2. Source: Alexandria via LeMat-Bulk, functional GGA-PBE.

abc: 6.0574 6.0574 7.2526
angles: 90.00 90.00 90.00
Last column: nearest neighbours and their distance in Å.
Space group P4/mmm (No. 123)
Asymmetric unit:
1 Cs 0.0000 0.0000 0.0000 (multiplicity 1)  2 Pb 3.63
2 Mg 0.5000 0.5000 0.0000 (multiplicity 1)  4 Cs 4.28, 8 Br 4.72
3 Pb 0.0000 0.0000 0.5000 (multiplicity 1)  4 Br 3.03
4 Br 0.0000 0.5000 0.5000 (multiplicity 2)  2 Pb 3.03

Output
Raw formation energy (eV per atom): -0.336